Version A
A plane-wave DFT calculation with PBE-GGA was carried out for an optimized crystal structure of Tm2AlRh3.

Cell: 5.062 5.062 5.062 Å, 67.22 67.22 67.22°
Atoms (fractional coordinates):
Rh 0.500 0.000 0.000
Rh 0.000 0.000 0.500
Tm 0.369 0.369 0.369
Al 0.000 0.000 0.000
Tm 0.631 0.631 0.631
Rh 0.000 0.500 0.000

Calculated values
Total magnetization   0.00 μB/cell
V   105.9 Å³/cell
Space-group type   R-3m, No. 166

Version B
A plane-wave DFT calculation with PBE-GGA was carried out for an optimized crystal structure of Tm2AlRh3.

Cell: 4.379 5.299 5.988 Å, 116.26 111.45 90.00°
Atoms (fractional coordinates):
Tm 0.683 0.183 0.367
Rh 0.636 0.636 0.272
Rh 0.364 0.364 0.728
Rh 0.000 0.000 0.000
Al 0.000 0.500 0.000
Tm 0.317 0.817 0.633

Calculated values
Total magnetization   0.00 μB/cell
V   113.8 Å³/cell
Space-group type   Immm, No. 71

version A is the most stable structure; the next one sits 345 meV/atom above it.

Version A
A plane-wave DFT calculation with PBE-GGA was carried out for an optimized crystal structure of AlVRh3.

Cell: 4.400 4.400 4.400 Å, 90.00 90.00 90.00°
Site moments in Bohr magnetons follow the coordinates.
Atoms (fractional coordinates):
V 0.500 0.500 0.500  2.16
Rh 0.500 0.000 0.000  -0.45
Rh 0.000 0.000 0.500  -0.45
Rh 0.000 0.500 0.000  -0.45
Al 0.000 0.000 0.000  -0.01

Calculated values
Total magnetization   1.10 μB/cell
V   85.2 Å³/cell
Space-group type   Pm-3m, No. 221

Version B
A plane-wave DFT calculation with PBE-GGA was carried out for an optimized crystal structure of AlVRh3.

Cell: 4.469 4.469 4.469 Å, 90.00 90.00 90.00°
Atoms (fractional coordinates):
V 0.000 0.000 0.000
Al 0.500 0.500 0.500
Rh 0.000 0.500 0.000
Rh 0.000 0.000 0.500
Rh 0.500 0.000 0.000

Calculated values
Total magnetization   0.00 μB/cell
V   89.2 Å³/cell
Space-group type   Pm-3m, No. 221

version A is the most stable structure; the next one sits 22 meV/atom above it.

Version A
A plane-wave DFT calculation with PBE-GGA was carried out for an optimized crystal structure of Al2RhW2.

Cell: 3.484 3.484 7.222 Å, 76.04 76.04 90.00°
Atoms (fractional coordinates):
W 0.404 0.404 0.192
Al 0.750 0.250 0.500
W 0.596 0.596 0.808
Rh 0.000 0.000 0.000
Al 0.250 0.750 0.500

Calculated values
Total magnetization   0.00 μB/cell
V   82.4 Å³/cell
Space-group type   I4/mmm, No. 139

Version B
A plane-wave DFT calculation with PBE-GGA was carried out for an optimized crystal structure of Al2RhW2.

Cell: 7.708 7.708 2.761 Å, 90.00 90.00 90.00°
Atoms (fractional coordinates):
Al 0.318 0.182 0.500
Rh 0.000 0.000 0.000
W 0.116 0.384 0.000
Al 0.818 0.318 0.500
W 0.884 0.616 0.000
Al 0.682 0.818 0.500
Al 0.182 0.682 0.500
W 0.616 0.116 0.000
Rh 0.500 0.500 0.000
W 0.384 0.884 0.000

Calculated values
Total magnetization   0.00 μB/cell
V   164.0 Å³/cell
Space-group type   P4/mbm, No. 127

version B is the most stable structure; the next one sits 264 meV/atom above it.

Version A
A plane-wave DFT calculation with PBE-GGA was carried out for an optimized crystal structure of AlZn3Rh.

Cell: 4.778 4.778 4.778 Å, 90.00 90.00 90.00°
Atoms (fractional coordinates):
Rh 0.000 0.000 0.000
Al 0.500 0.500 0.500
Zn 0.000 0.500 0.000
Zn 0.000 0.000 0.500
Zn 0.500 0.000 0.000

Calculated values
Total magnetization   0.00 μB/cell
V   109.0 Å³/cell
Space-group type   Pm-3m, No. 221

Version B
A plane-wave DFT calculation with PBE-GGA was carried out for an optimized crystal structure of AlZn3Rh.

Cell: 4.603 4.603 4.603 Å, 90.00 90.00 90.00°
Atoms (fractional coordinates):
Zn 0.500 0.000 0.000
Zn 0.000 0.500 0.000
Al 0.000 0.000 0.000
Zn 0.000 0.000 0.500
Rh 0.500 0.500 0.500

Calculated values
Total magnetization   0.00 μB/cell
V   97.5 Å³/cell
Space-group type   Pm-3m, No. 221

version A is the most stable structure; the next one sits 570 meV/atom above it.